## MgNiO2 (PBE with a Hubbard U)

Data for a relaxed MgNiO2 crystal.

- total energy (eV per atom) = -5.188

Lattice parameters (Å, degrees): 2.950 2.950 5.441 74.27 74.27 60.00
Site moments in Bohr magnetons follow the coordinates.
Atoms (fractional coordinates):
O  0.077  0.077  0.770  0.08
O  0.251  0.251  0.247  0.14
Mg  0.670  0.670  0.990  0.00
Ni  0.502  0.502  0.493  1.76